[1]
# Tb4ErSi4, relaxed, DFT GGA-PBE
data_Tb4ErSi4
_chemical_formula_sum 'Tb8 Er2 Si8'
_space_group_name_H-M_alt 'P 42/n'
_space_group_IT_number 86
_cell_length_a 8.902
_cell_length_b 8.902
_cell_length_c 5.821
_cell_angle_alpha 90.00
_cell_angle_beta 90.00
_cell_angle_gamma 90.00
loop_
_space_group_symop_operation_xyz
'x,y,z'
'-x,-y,-z'
'-y,x+1/2,z+1/2'
'y,-x+1/2,-z+1/2'
'-x+1/2,-y+1/2,z'
'x+1/2,y+1/2,-z'
'y+1/2,-x,z+1/2'
'-y+1/2,x,-z+1/2'
loop_
_atom_site_label
_atom_site_type_symbol
_atom_site_fract_x
_atom_site_fract_y
_atom_site_fract_z
Tb1 Tb 0.071 0.663 0.121
Er1 Er 0.250 0.250 0.250
Si1 Si 0.017 0.616 0.615
# * DFT total energy: -0.20068 Ha/atom
# * crystal system: tetragonal
# * DOS(E_F): 8.906 states/eV/f.u.
# * V: 25.63 Å³/atom


[2]
# TbErZnSi, relaxed, DFT GGA-PBE
data_TbErZnSi
_chemical_formula_sum 'Tb2 Er2 Zn2 Si2'
_space_group_name_H-M_alt 'A m m 2'
_space_group_IT_number 38
_cell_length_a 4.050
_cell_length_b 4.164
_cell_length_c 10.796
_cell_angle_alpha 90.00
_cell_angle_beta 90.00
_cell_angle_gamma 90.00
loop_
_space_group_symop_operation_xyz
'x,y,z'
'-x,-y,z'
'-x,y,z'
'x,-y,z'
'x,y+1/2,z+1/2'
'-x,-y+1/2,z+1/2'
'-x,y+1/2,z+1/2'
'x,-y+1/2,z+1/2'
loop_
_atom_site_label
_atom_site_type_symbol
_atom_site_fract_x
_atom_site_fract_y
_atom_site_fract_z
Tb1 Tb 0.000 0.000 0.000
Er1 Er 0.500 0.000 0.284
Zn1 Zn 0.500 0.000 0.573
Si1 Si 0.000 0.000 0.718
# * polymorph energy (0 for the lowest one): 0.0 meV per atom
# * crystal system: orthorhombic
# * DOS(E_F): 3.916 states/eV/f.u.
# * V: 22.76 Å³/atom


[3]
# TbErZnSi, relaxed, DFT GGA-PBE
data_TbErZnSi
_chemical_formula_sum 'Tb4 Er4 Zn4 Si4'
_space_group_name_H-M_alt 'F -4 3 m'
_space_group_IT_number 216
_space_group_name_Hall 'F -4 2 3'
_cell_length_a 7.017
_cell_length_b 7.017
_cell_length_c 7.017
_cell_angle_alpha 90.00
_cell_angle_beta 90.00
_cell_angle_gamma 90.00
loop_
_atom_site_label
_atom_site_type_symbol
_atom_site_fract_x
_atom_site_fract_y
_atom_site_fract_z
Tb1 Tb 0.000 0.000 0.000
Er1 Er 0.000 0.000 0.500
Zn1 Zn 0.250 0.250 0.750
Si1 Si 0.250 0.250 0.250
# * polymorph energy (0 for the lowest one): 110.4 meV per atom
# * crystal system: cubic
# * DOS(E_F): 1.804 states/eV/f.u.
# * V: 21.59 Å³/atom


[4]
# ErSiTc, relaxed, DFT GGA-PBE
data_ErSiTc
_chemical_formula_sum 'Er6 Si6 Tc6'
_space_group_name_H-M_alt 'P 1 21/m 1'
_space_group_IT_number 11
_cell_length_a 7.199
_cell_length_b 3.610
_cell_length_c 12.419
_cell_angle_alpha 90.00
_cell_angle_beta 90.28
_cell_angle_gamma 90.00
loop_
_space_group_symop_operation_xyz
'x,y,z'
'-x,-y,-z'
'-x,y+1/2,-z'
'x,-y+1/2,z'
loop_
_atom_site_label
_atom_site_type_symbol
_atom_site_fract_x
_atom_site_fract_y
_atom_site_fract_z
Er1 Er 0.033 0.250 0.121
Er2 Er 0.142 0.250 0.414
Er3 Er 0.463 0.750 0.781
Si1 Si 0.239 0.750 0.248
Si2 Si 0.267 0.750 0.587
Si3 Si 0.276 0.250 0.921
Tc1 Tc 0.136 0.250 0.706
Tc2 Tc 0.367 0.750 0.044
Tc3 Tc 0.484 0.750 0.418
# * polymorph energy (0 for the lowest one): 0.0 meV per atom
# * crystal system: monoclinic
# * DOS(E_F): 1.666 states/eV/f.u.
# * V: 17.93 Å³/atom


[5]
# Er3Si3Tc, relaxed, DFT GGA-PBE
data_Er3Si3Tc
_chemical_formula_sum 'Er12 Si12 Tc4'
_space_group_name_H-M_alt 'C 1 2/m 1'
_space_group_IT_number 12
_cell_length_a 10.610
_cell_length_b 4.169
_cell_length_c 13.573
_cell_angle_alpha 90.00
_cell_angle_beta 110.69
_cell_angle_gamma 90.00
loop_
_space_group_symop_operation_xyz
'x,y,z'
'-x,-y,-z'
'-x,y,-z'
'x,-y,z'
'x+1/2,y+1/2,z'
'-x+1/2,-y+1/2,-z'
'-x+1/2,y+1/2,-z'
'x+1/2,-y+1/2,z'
loop_
_atom_site_label
_atom_site_type_symbol
_atom_site_fract_x
_atom_site_fract_y
_atom_site_fract_z
Er1 Er 0.020 0.000 0.375
Er2 Er 0.105 0.000 0.921
Er3 Er 0.244 0.000 0.229
Si1 Si 0.049 0.500 0.235
Si2 Si 0.110 0.500 0.074
Si3 Si 0.132 0.500 0.542
Tc1 Tc 0.244 0.500 0.411
# * DFT total energy: -0.24009 Ha/atom
# * crystal system: monoclinic
# * DOS(E_F): 5.706 states/eV/f.u.
# * V: 20.06 Å³/atom


[6]
# Er2Si2Tc, relaxed, DFT GGA-PBE
data_Er2Si2Tc
_chemical_formula_sum 'Er8 Si8 Tc4'
_space_group_name_H-M_alt 'I b a m'
_space_group_IT_number 72
_space_group_name_Hall '-I 2 2c'
_cell_length_a 6.212
_cell_length_b 11.730
_cell_length_c 6.021
_cell_angle_alpha 90.00
_cell_angle_beta 90.00
_cell_angle_gamma 90.00
loop_
_atom_site_label
_atom_site_type_symbol
_atom_site_fract_x
_atom_site_fract_y
_atom_site_fract_z
Er1 Er 0.198 0.147 0.000
Si1 Si 0.233 0.397 0.000
Tc1 Tc 0.000 0.500 0.250
# * polymorph energy (0 for the lowest one): 252.6 meV per atom
# * crystal system: orthorhombic
# * DOS(E_F): 3.675 states/eV/f.u.
# * V: 21.94 Å³/atom


[7]
# ErSiTc, relaxed, DFT GGA-PBE
data_ErSiTc
_chemical_formula_sum 'Er4 Si4 Tc4'
_space_group_name_H-M_alt 'P n m a'
_space_group_IT_number 62
_cell_length_a 7.049
_cell_length_b 4.313
_cell_length_c 7.135
_cell_angle_alpha 90.00
_cell_angle_beta 90.00
_cell_angle_gamma 90.00
loop_
_space_group_symop_operation_xyz
'x,y,z'
'-x,-y,-z'
'-x+1/2,-y,z+1/2'
'x+1/2,y,-z+1/2'
'x+1/2,-y+1/2,-z+1/2'
'-x+1/2,y+1/2,z+1/2'
'-x,y+1/2,-z'
'x,-y+1/2,z'
loop_
_atom_site_label
_atom_site_type_symbol
_atom_site_fract_x
_atom_site_fract_y
_atom_site_fract_z
Er1 Er 0.010 0.250 0.187
Si1 Si 0.197 0.250 0.607
Tc1 Tc 0.156 0.750 0.437
# * polymorph energy (0 for the lowest one): 21.3 meV per atom
# * crystal system: orthorhombic
# * DOS(E_F): 2.784 states/eV/f.u.
# * V: 18.08 Å³/atom


[8]
# ErSi2Tc, relaxed, DFT GGA-PBE
data_ErSi2Tc
_chemical_formula_sum 'Er3 Si6 Tc3'
_space_group_name_H-M_alt 'R -3 m'
_space_group_IT_number 166
_space_group_name_Hall '-R 3 2"'
_cell_length_a 4.1170
_cell_length_b 4.1170
_cell_length_c 14.3999
_cell_angle_alpha 90.00
_cell_angle_beta 90.00
_cell_angle_gamma 120.00
loop_
_atom_site_label
_atom_site_type_symbol
_atom_site_fract_x
_atom_site_fract_y
_atom_site_fract_z
Er1 Er 0.0000 0.0000 0.0000
Si1 Si 0.0000 0.0000 0.2134
Tc1 Tc 0.0000 0.0000 0.5000
# * polymorph energy (0 for the lowest one): 105.6 meV per atom
# * crystal system: trigonal
# * DOS(E_F): 2.926 states/eV/f.u.
# * V: 17.61 Å³/atom


[9]
# ErSi4Tc4, relaxed, DFT GGA-PBE
data_ErSi4Tc4
_chemical_formula_sum 'Er2 Si8 Tc8'
_space_group_name_H-M_alt 'P 42/n'
_space_group_IT_number 86
_cell_length_a 8.031
_cell_length_b 8.031
_cell_length_c 4.712
_cell_angle_alpha 90.00
_cell_angle_beta 90.00
_cell_angle_gamma 90.00
loop_
_space_group_symop_operation_xyz
'x,y,z'
'-x,-y,-z'
'-y,x+1/2,z+1/2'
'y,-x+1/2,-z+1/2'
'-x+1/2,-y+1/2,z'
'x+1/2,y+1/2,-z'
'y+1/2,-x,z+1/2'
'-y+1/2,x,-z+1/2'
loop_
_atom_site_label
_atom_site_type_symbol
_atom_site_fract_x
_atom_site_fract_y
_atom_site_fract_z
Er1 Er 0.250 0.250 0.250
Si1 Si 0.063 0.911 0.163
Tc1 Tc 0.121 0.872 0.656
# * DFT total energy: -0.29396 Ha/atom
# * crystal system: tetragonal
# * DOS(E_F): 8.585 states/eV/f.u.
# * V: 16.88 Å³/atom


[10]
# ErSi2Tc2, relaxed, DFT GGA-PBE
data_ErSi2Tc2
_chemical_formula_sum 'Er4 Si8 Tc8'
_space_group_name_H-M_alt 'F m m m'
_space_group_IT_number 69
_space_group_name_Hall '-F 2 2'
_cell_length_a 5.830
_cell_length_b 5.836
_cell_length_c 10.035
_cell_angle_alpha 90.00
_cell_angle_beta 90.00
_cell_angle_gamma 90.00
loop_
_atom_site_label
_atom_site_type_symbol
_atom_site_fract_x
_atom_site_fract_y
_atom_site_fract_z
Er1 Er 0.000 0.000 0.000
Si1 Si 0.000 0.000 0.378
Tc1 Tc 0.250 0.250 0.250
# * polymorph energy (0 for the lowest one): 0.0 meV per atom
# * crystal system: orthorhombic
# * DOS(E_F): 4.131 states/eV/f.u.
# * V: 17.07 Å³/atom


[11]
# Er2Si2Tc, relaxed, DFT GGA-PBE
data_Er2Si2Tc
_chemical_formula_sum 'Er8 Si8 Tc4'
_space_group_name_H-M_alt 'C 1 2/m 1'
_space_group_IT_number 12
_cell_length_a 10.738
_cell_length_b 4.158
_cell_length_c 10.017
_cell_angle_alpha 90.00
_cell_angle_beta 118.39
_cell_angle_gamma 90.00
loop_
_space_group_symop_operation_xyz
'x,y,z'
'-x,-y,-z'
'-x,y,-z'
'x,-y,z'
'x+1/2,y+1/2,z'
'-x+1/2,-y+1/2,-z'
'-x+1/2,y+1/2,-z'
'x+1/2,-y+1/2,z'
loop_
_atom_site_label
_atom_site_type_symbol
_atom_site_fract_x
_atom_site_fract_y
_atom_site_fract_z
Er1 Er 0.005 0.000 0.178
Er2 Er 0.187 0.000 0.610
Si1 Si 0.003 0.500 0.378
Si2 Si 0.140 0.500 0.060
Tc1 Tc 0.227 0.500 0.870
# * polymorph energy (0 for the lowest one): 0.0 meV per atom
# * crystal system: monoclinic
# * DOS(E_F): 2.386 states/eV/f.u.
# * V: 19.67 Å³/atom


[12]
# ErSi3Tc2, relaxed, DFT GGA-PBE
data_ErSi3Tc2
_chemical_formula_sum 'Er4 Si12 Tc8'
_space_group_name_H-M_alt 'C m c m'
_space_group_IT_number 63
_space_group_name_Hall '-C 2c 2'
_cell_length_a 9.218
_cell_length_b 7.231
_cell_length_c 5.850
_cell_angle_alpha 90.00
_cell_angle_beta 90.00
_cell_angle_gamma 90.00
loop_
_atom_site_label
_atom_site_type_symbol
_atom_site_fract_x
_atom_site_fract_y
_atom_site_fract_z
Er1 Er 0.000 0.153 0.250
Si1 Si 0.000 0.459 0.750
Si2 Si 0.160 0.209 0.750
Tc1 Tc 0.212 0.500 0.000
# * DFT total energy: -0.27477 Ha/atom
# * crystal system: orthorhombic
# * DOS(E_F): 2.532 states/eV/f.u.
# * V: 16.25 Å³/atom


[13]
# ErSi2Tc, relaxed, DFT GGA-PBE
data_ErSi2Tc
_chemical_formula_sum 'Er1 Si2 Tc1'
_space_group_name_H-M_alt 'P 4/m m m'
_space_group_IT_number 123
_space_group_name_Hall '-P 4 2'
_cell_length_a 3.123
_cell_length_b 3.123
_cell_length_c 6.763
_cell_angle_alpha 90.00
_cell_angle_beta 90.00
_cell_angle_gamma 90.00
loop_
_atom_site_label
_atom_site_type_symbol
_atom_site_fract_x
_atom_site_fract_y
_atom_site_fract_z
Er1 Er 0.000 0.000 0.000
Si1 Si 0.500 0.500 0.305
Tc1 Tc 0.000 0.000 0.500
# * polymorph energy (0 for the lowest one): 210.9 meV per atom
# * crystal system: tetragonal
# * DOS(E_F): 2.658 states/eV/f.u.
# * V: 16.49 Å³/atom


[14]
# ErSi2Tc, relaxed, DFT GGA-PBE
data_ErSi2Tc
_chemical_formula_sum 'Er4 Si8 Tc4'
_space_group_name_H-M_alt 'P n m a'
_space_group_IT_number 62
_cell_length_a 6.547
_cell_length_b 6.230
_cell_length_c 6.717
_cell_angle_alpha 90.00
_cell_angle_beta 90.00
_cell_angle_gamma 90.00
loop_
_space_group_symop_operation_xyz
'x,y,z'
'-x,-y,-z'
'-x+1/2,-y,z+1/2'
'x+1/2,y,-z+1/2'
'x+1/2,-y+1/2,-z+1/2'
'-x+1/2,y+1/2,z+1/2'
'-x,y+1/2,-z'
'x,-y+1/2,z'
loop_
_atom_site_label
_atom_site_type_symbol
_atom_site_fract_x
_atom_site_fract_y
_atom_site_fract_z
Er1 Er 0.013 0.250 0.169
Si1 Si 0.173 0.063 0.548
Tc1 Tc 0.152 0.750 0.332
# * polymorph energy (0 for the lowest one): 8.9 meV per atom
# * crystal system: orthorhombic
# * DOS(E_F): 1.370 states/eV/f.u.
# * V: 17.13 Å³/atom


[15]
# ErSi2Tc2, relaxed, DFT GGA-PBE
data_ErSi2Tc2
_chemical_formula_sum 'Er8 Si16 Tc16'
_space_group_name_H-M_alt 'F d d d'
_space_group_IT_number 70
_cell_length_a 5.403
_cell_length_b 9.987
_cell_length_c 13.425
_cell_angle_alpha 90.00
_cell_angle_beta 90.00
_cell_angle_gamma 90.00
loop_
_space_group_symop_operation_xyz
'x,y,z'
'-x,-y,-z'
'-x+1/4,-y+1/4,z'
'x+1/4,y+1/4,-z'
'x,-y+1/4,-z+1/4'
'-x,y+1/4,z+1/4'
'-x+1/4,y,-z+1/4'
'x+1/4,-y,z+1/4'
'x,y+1/2,z+1/2'
'-x,-y+1/2,-z+1/2'
'-x+1/4,-y+3/4,z+1/2'
'x+1/4,y+3/4,-z+1/2'
'x,-y+3/4,-z+3/4'
'-x,y+3/4,z+3/4'
'-x+1/4,y+1/2,-z+3/4'
'x+1/4,-y+1/2,z+3/4'
'x+1/2,y,z+1/2'
'-x+1/2,-y,-z+1/2'
'-x+3/4,-y+1/4,z+1/2'
'x+3/4,y+1/4,-z+1/2'
'x+1/2,-y+1/4,-z+3/4'
'-x+1/2,y+1/4,z+3/4'
'-x+3/4,y,-z+3/4'
'x+3/4,-y,z+3/4'
'x+1/2,y+1/2,z'
'-x+1/2,-y+1/2,-z'
'-x+3/4,-y+3/4,z'
'x+3/4,y+3/4,-z'
'x+1/2,-y+3/4,-z+1/4'
'-x+1/2,y+3/4,z+1/4'
'-x+3/4,y+1/2,-z+1/4'
'x+3/4,-y+1/2,z+1/4'
loop_
_atom_site_label
_atom_site_type_symbol
_atom_site_fract_x
_atom_site_fract_y
_atom_site_fract_z
Er1 Er 0.125 0.125 0.125
Si1 Si 0.125 0.317 0.625
Tc1 Tc 0.125 0.125 0.513
# * polymorph energy (0 for the lowest one): 124.0 meV per atom
# * crystal system: orthorhombic
# * DOS(E_F): 3.562 states/eV/f.u.
# * V: 18.11 Å³/atom


[16]
# ErSi2Tc3, relaxed, DFT GGA-PBE
data_ErSi2Tc3
_chemical_formula_sum 'Er6 Si12 Tc18'
_space_group_name_H-M_alt 'C 1 2/m 1'
_space_group_IT_number 12
_cell_length_a 16.025
_cell_length_b 4.110
_cell_length_c 9.427
_cell_angle_alpha 90.00
_cell_angle_beta 105.30
_cell_angle_gamma 90.00
loop_
_space_group_symop_operation_xyz
'x,y,z'
'-x,-y,-z'
'-x,y,-z'
'x,-y,z'
'x+1/2,y+1/2,z'
'-x+1/2,-y+1/2,-z'
'-x+1/2,y+1/2,-z'
'x+1/2,-y+1/2,z'
loop_
_atom_site_label
_atom_site_type_symbol
_atom_site_fract_x
_atom_site_fract_y
_atom_site_fract_z
Er1 Er 0.000 0.000 0.000
Er2 Er 0.160 0.000 0.723
Si1 Si 0.037 0.500 0.789
Si2 Si 0.150 0.500 0.488
Si3 Si 0.203 0.000 0.126
Tc1 Tc 0.000 0.500 0.500
Tc2 Tc 0.038 0.000 0.364
Tc3 Tc 0.123 0.500 0.214
Tc4 Tc 0.173 0.500 0.990
Tc5 Tc 0.200 0.000 0.384
# * DFT total energy: -0.30288 Ha/atom
# * crystal system: monoclinic
# * DOS(E_F): 3.798 states/eV/f.u.
# * V: 16.63 Å³/atom


[17]
# ErSi2Tc, relaxed, DFT GGA-PBE
data_ErSi2Tc
_chemical_formula_sum 'Er4 Si8 Tc4'
_space_group_name_H-M_alt 'P n m a'
_space_group_IT_number 62
_cell_length_a 7.162
_cell_length_b 3.901
_cell_length_c 9.999
_cell_angle_alpha 90.00
_cell_angle_beta 90.00
_cell_angle_gamma 90.00
loop_
_space_group_symop_operation_xyz
'x,y,z'
'-x,-y,-z'
'-x+1/2,-y,z+1/2'
'x+1/2,y,-z+1/2'
'x+1/2,-y+1/2,-z+1/2'
'-x+1/2,y+1/2,z+1/2'
'-x,y+1/2,-z'
'x,-y+1/2,z'
loop_
_atom_site_label
_atom_site_type_symbol
_atom_site_fract_x
_atom_site_fract_y
_atom_site_fract_z
Er1 Er 0.146 0.250 0.128
Si1 Si 0.152 0.250 0.814
Si2 Si 0.214 0.250 0.430
Tc1 Tc 0.015 0.750 0.393
# * polymorph energy (0 for the lowest one): 0.0 meV per atom
# * crystal system: orthorhombic
# * DOS(E_F): 2.066 states/eV/f.u.
# * V: 17.46 Å³/atom


[18]
# ErSiTc, relaxed, DFT GGA-PBE
data_ErSiTc
_chemical_formula_sum 'Er2 Si2 Tc2'
_space_group_name_H-M_alt 'P m m n'
_space_group_IT_number 59
_cell_length_a 4.527
_cell_length_b 4.627
_cell_length_c 5.603
_cell_angle_alpha 90.00
_cell_angle_beta 90.00
_cell_angle_gamma 90.00
loop_
_space_group_symop_operation_xyz
'x,y,z'
'-x,-y,-z'
'-x+1/2,-y+1/2,z'
'x+1/2,y+1/2,-z'
'x+1/2,-y,-z'
'-x+1/2,y,z'
'-x,y+1/2,-z'
'x,-y+1/2,z'
loop_
_atom_site_label
_atom_site_type_symbol
_atom_site_fract_x
_atom_site_fract_y
_atom_site_fract_z
Er1 Er 0.250 0.250 0.026
Si1 Si 0.250 0.750 0.655
Tc1 Tc 0.250 0.250 0.532
# * polymorph energy (0 for the lowest one): 338.9 meV per atom
# * crystal system: orthorhombic
# * DOS(E_F): 0.556 states/eV/f.u.
# * V: 19.56 Å³/atom


[19]
# ErSiTc, relaxed, DFT GGA-PBE
data_ErSiTc
_chemical_formula_sum 'Er1 Si1 Tc1'
_space_group_name_H-M_alt 'P -6 m 2'
_space_group_IT_number 187
_space_group_name_Hall 'P -6 2'
_cell_length_a 4.2112
_cell_length_b 4.2112
_cell_length_c 3.6967
_cell_angle_alpha 90.00
_cell_angle_beta 90.00
_cell_angle_gamma 120.00
loop_
_atom_site_label
_atom_site_type_symbol
_atom_site_fract_x
_atom_site_fract_y
_atom_site_fract_z
Er1 Er 0.0000 0.0000 0.0000
Si1 Si 0.3333 0.6667 0.5000
Tc1 Tc 0.6667 0.3333 0.5000
# * polymorph energy (0 for the lowest one): 164.4 meV per atom
# * crystal system: hexagonal
# * DOS(E_F): 1.949 states/eV/f.u.
# * V: 18.93 Å³/atom


[20]
# Er4SiTe2, relaxed, DFT GGA-PBE
data_Er4SiTe2
_chemical_formula_sum 'Er16 Si4 Te8'
_space_group_name_H-M_alt 'I m m a'
_space_group_IT_number 74
_space_group_name_Hall '-I 2b 2'
_cell_length_a 9.219
_cell_length_b 9.221
_cell_length_c 9.195
_cell_angle_alpha 90.00
_cell_angle_beta 90.00
_cell_angle_gamma 90.00
loop_
_atom_site_label
_atom_site_type_symbol
_atom_site_fract_x
_atom_site_fract_y
_atom_site_fract_z
Er1 Er 0.000 0.049 0.175
Er2 Er 0.201 0.250 0.574
Si1 Si 0.000 0.250 0.875
Te1 Te 0.000 0.000 0.500
Te2 Te 0.250 0.250 0.250
# * DFT total energy: -0.18853 Ha/atom
# * crystal system: orthorhombic
# * DOS(E_F): 6.177 states/eV/f.u.
# * V: 27.92 Å³/atom